Entry from the Alexandria database: a geometry-optimized RbLiSn4 structure (PBE).

The structure in POSCAR format:
```
RbLiSn4
1.0
6.433 0.000 0.000
3.216 5.571 0.000
3.216 1.857 5.252
Sn Rb Li
4 1 1
Cartesian
6.433 3.714 0.644 Sn
6.433 1.845 3.287 Sn
8.052 4.649 3.287 Sn
4.814 4.649 3.287 Sn
3.216 1.857 1.313 Rb
0.000 0.000 0.000 Li
```

Fermi-level density of states, states/eV/atom: 1.305
Uncorrected energy, eV per atom: -3.168
Symmetry: F-43m, No. 216
Energy of formation, meV per atom: -20